1.
Computed, not measured: Tc2AsP after structural relaxation at the PBE level of DFT.

Formation energy from the elements, kJ/mol of formula units: -35.1
Distance to the lowest polymorph of the same formula, eV per atom: 0.208

a = 2.928 Å, b = 2.928 Å, c = 7.730 Å
α = 90.00°, β = 90.00°, γ = 90.00°
Positions (direct):
As 0.000 0.000 0.444
Tc 0.500 0.500 0.231
Tc 0.000 0.000 0.996
P 0.500 0.500 0.829

***

2.
Computed, not measured: Tc2AsP after structural relaxation at the PBE level of DFT.

Formation energy from the elements, kJ/mol of formula units: -34.8
Distance to the lowest polymorph of the same formula, eV per atom: 0.209

a = 4.059 Å, b = 4.059 Å, c = 5.314 Å
α = 78.31°, β = 78.31°, γ = 43.07°
Positions (direct):
P 0.250 0.250 0.250
As 0.750 0.750 0.750
Tc 0.000 0.000 0.029
Tc 0.500 0.500 0.471

***

3.
Computed, not measured: TcAsP after structural relaxation at the PBE level of DFT.

Formation energy from the elements, kJ/mol of formula units: 62.1
Distance to the lowest polymorph of the same formula, eV per atom: 0.376

a = 7.359 Å, b = 7.116 Å, c = 2.873 Å
α = 83.36°, β = 73.83°, γ = 22.81°
Positions (direct):
As 0.022 0.022 0.978
Tc 0.676 0.676 0.324
P 0.302 0.302 0.698

***

4.
Computed, not measured: Tc3AsP after structural relaxation at the PBE level of DFT.

Formation energy from the elements, kJ/mol of formula units: 299.6
Distance to the lowest polymorph of the same formula, eV per atom: 0.000

a = 4.409 Å, b = 4.409 Å, c = 4.409 Å
α = 90.00°, β = 90.00°, γ = 90.00°
Each line ends with the local moment (μB).
Positions (direct):
Tc 0.000 0.000 0.500  0.73
P 0.000 0.000 0.000  -0.03
Tc 0.000 0.500 0.000  0.67
As 0.500 0.500 0.500  -0.03
Tc 0.500 0.000 0.000  0.74

***

5.
Computed, not measured: Tc2AsP after structural relaxation at the PBE level of DFT.

Formation energy from the elements, kJ/mol of formula units: 88.5
Distance to the lowest polymorph of the same formula, eV per atom: 0.528

a = 2.982 Å, b = 5.157 Å, c = 3.899 Å
α = 90.00°, β = 90.00°, γ = 90.00°
Positions (direct):
As 0.500 0.000 0.500
Tc 0.500 0.500 0.000
P 0.000 0.500 0.500
Tc 0.000 0.000 0.000

***

6.
Computed, not measured: Tc2AsP after structural relaxation at the PBE level of DFT.

Formation energy from the elements, kJ/mol of formula units: -33.2
Distance to the lowest polymorph of the same formula, eV per atom: 0.213

a = 7.676 Å, b = 7.676 Å, c = 7.676 Å
α = 22.42°, β = 22.42°, γ = 22.42°
Positions (direct):
As 0.250 0.250 0.250
Tc 0.006 0.006 0.006
P 0.750 0.750 0.750
Tc 0.494 0.494 0.494

***

7.
Computed, not measured: TcAsP after structural relaxation at the PBE level of DFT.

Formation energy from the elements, kJ/mol of formula units: -33.1
Distance to the lowest polymorph of the same formula, eV per atom: 0.047

a = 6.224 Å, b = 6.224 Å, c = 6.224 Å
α = 152.29°, β = 152.29°, γ = 39.59°
Positions (direct):
Tc 0.677 0.677 0.000
P 0.287 0.287 0.000
As 0.036 0.036 0.000

***

8.
Computed, not measured: TcAsP2 after structural relaxation at the PBE level of DFT.

Formation energy from the elements, kJ/mol of formula units: 137.5

a = 2.830 Å, b = 2.830 Å, c = 8.931 Å
α = 90.00°, β = 90.00°, γ = 116.77°
Positions (direct):
P 0.000 0.000 0.464
P 0.000 0.000 0.036
As 0.500 0.500 0.750
Tc 0.500 0.500 0.250